Entry 1:
Li4Ti3Co3Sb2O16, PBEsol geometry, DFT SCAN; N(E_F) = 2.0 states/eV/f.u.; SG = Cm (8); M_tot = 2.93 μB/f.u.; uncorrected formation energy = -2.22 eV per atom; crystal system = monoclinic
1.0
4.9370 -2.9291 0.0000
4.9370 2.9291 0.0000
-0.0073 0.0000 9.7283
Li Ti Co Sb O
4 3 3 2 16
Direct
0.0000 0.0000 0.0000 Li
0.0013 0.0013 0.5040 Li
0.3214 0.3214 0.4053 Li
0.6558 0.6558 0.9179 Li
0.1554 0.6404 0.7261 Ti
0.6404 0.1554 0.7261 Ti
0.8189 0.8189 0.2259 Ti
0.1802 0.1802 0.7242 Co
0.3330 0.8253 0.2293 Co
0.8253 0.3330 0.2293 Co
0.3249 0.3249 0.0091 Sb
0.6479 0.6479 0.4982 Sb
0.0189 0.4845 0.8607 O
0.1522 0.1522 0.1242 O
0.1538 0.6804 0.1172 O
0.3191 0.8274 0.6068 O
0.3436 0.3436 0.6026 O
0.4755 0.4755 0.8448 O
0.4845 0.0189 0.8607 O
0.5080 0.5080 0.3402 O
0.5091 0.9542 0.3543 O
0.6544 0.6544 0.1208 O
0.6804 0.1538 0.1172 O
0.8225 0.8225 0.6049 O
0.8274 0.3191 0.6068 O
0.9542 0.5091 0.3543 O
0.9888 0.9888 0.8104 O
0.9981 0.9981 0.3192 O

---

Entry 2:
Li4Ti2Co3Sb3O16, PBEsol geometry, DFT SCAN; N(E_F) = 4.5 states/eV/f.u.; SG = Cm (8); M_tot = 8.01 μB/f.u.; uncorrected formation energy = -1.98 eV per atom; crystal system = monoclinic
1.0
5.3106 -2.9856 0.0000
5.3106 2.9856 0.0000
-0.1076 0.0000 9.5068
Li Ti Co Sb O
4 2 3 3 16
Direct
0.0000 0.0000 0.0000 Li
0.0113 0.0113 0.5280 Li
0.3487 0.3487 0.4169 Li
0.7092 0.7092 0.9094 Li
0.3911 0.3911 0.9796 Ti
0.7054 0.7054 0.5229 Ti
0.2285 0.6713 0.7380 Co
0.6713 0.2285 0.7380 Co
0.8506 0.8506 0.2320 Co
0.1980 0.1980 0.7315 Sb
0.3561 0.8512 0.2327 Sb
0.8512 0.3561 0.2327 Sb
0.0203 0.0203 0.3373 O
0.0292 0.0292 0.8162 O
0.0738 0.5045 0.8660 O
0.1726 0.1726 0.1153 O
0.1962 0.6921 0.1152 O
0.3568 0.3568 0.6221 O
0.3680 0.8682 0.6110 O
0.5045 0.0738 0.8660 O
0.5297 0.9775 0.3579 O
0.5324 0.5324 0.3558 O
0.5318 0.5318 0.8735 O
0.6836 0.6836 0.1192 O
0.6921 0.1962 0.1152 O
0.8516 0.8516 0.6095 O
0.8682 0.3680 0.6110 O
0.9775 0.5297 0.3579 O

---

Entry 3:
Li3Co2Si3O10, PBEsol geometry, DFT SCAN; N(E_F) = 5.3 states/eV/f.u.; SG = Cc (9); M_tot = 7.00 μB/f.u.; uncorrected formation energy = -2.37 eV per atom; crystal system = monoclinic
1.0
4.5770 -2.6954 0.0000
4.5770 2.6954 0.0000
-2.0656 0.0000 16.6142
Li Co Si O
6 4 6 20
Direct
0.0673 0.7995 0.1690 Li
0.0797 0.9203 0.5000 Li
0.4252 0.6735 0.7296 Li
0.6735 0.4252 0.2296 Li
0.7995 0.0673 0.6690 Li
0.9203 0.0797 0.0000 Li
0.0444 0.2445 0.3675 Co
0.2445 0.0444 0.8675 Co
0.2680 0.4191 0.0255 Co
0.4191 0.2680 0.5255 Co
0.1290 0.3525 0.7004 Si
0.3525 0.1290 0.2004 Si
0.5957 0.7583 0.0523 Si
0.7020 0.9272 0.3535 Si
0.7583 0.5957 0.5523 Si
0.9272 0.7020 0.8535 Si
0.0239 0.3353 0.5028 O
0.0816 0.1365 0.2381 O
0.0933 0.6127 0.7686 O
0.1291 0.4285 0.9094 O
0.1365 0.0816 0.7381 O
0.3087 0.3944 0.1517 O
0.3353 0.0239 0.0028 O
0.3944 0.3087 0.6517 O
0.4285 0.1291 0.4094 O
0.4519 0.6065 0.5224 O
0.4990 0.8140 0.1468 O
0.6009 0.7511 0.8350 O
0.6065 0.4519 0.0224 O
0.6127 0.0933 0.2686 O
0.7511 0.6009 0.3350 O
0.7660 0.9008 0.5530 O
0.8140 0.4990 0.6468 O
0.9008 0.7660 0.0530 O
0.9351 0.9918 0.8897 O
0.9918 0.9351 0.3897 O

---

Entry 4:
Li2CoSi2O6, PBEsol geometry, DFT SCAN; N(E_F) = 0.0 states/eV/f.u.; SG = P2_1 (4); M_tot = 3.00 μB/f.u.; uncorrected formation energy = -2.49 eV per atom; crystal system = monoclinic; E above lowest polymorph = 6.1 kJ/mol of atoms
1.0
5.3702 0.0000 0.0000
0.0000 4.7070 0.0000
-0.5093 0.0000 9.5369
Li Co Si O
4 2 4 12
Direct
0.1515 0.0000 0.3338 Li
0.3393 0.4999 0.4892 Li
0.6607 0.9999 0.5108 Li
0.8485 0.5000 0.6662 Li
0.2689 0.5078 0.1495 Co
0.7311 0.0078 0.8505 Co
0.1876 0.9972 0.6612 Si
0.3713 0.4946 0.8275 Si
0.6287 0.9946 0.1725 Si
0.8124 0.4972 0.3388 Si
0.1032 0.4091 0.3251 O
0.2107 0.3497 0.6858 O
0.2293 0.4133 0.9628 O
0.3027 0.9158 0.5146 O
0.3417 0.9007 0.1843 O
0.3648 0.8438 0.7892 O
0.6352 0.3438 0.2108 O
0.6583 0.4007 0.8157 O
0.6973 0.4158 0.4854 O
0.7707 0.9133 0.0372 O
0.7893 0.8497 0.3142 O
0.8968 0.9091 0.6749 O

---

Entry 5:
Li6CoSi2O8, PBEsol geometry, DFT SCAN; N(E_F) = 0.0 states/eV/f.u.; SG = P-1 (2); M_tot = 3.00 μB/f.u.; uncorrected formation energy = -2.42 eV per atom; crystal system = triclinic
1.0
4.9900 0.0000 0.0000
0.5317 5.3893 0.0000
1.1701 0.0896 6.0587
Li Co Si O
6 1 2 8
Direct
0.1156 0.2529 0.0363 Li
0.2661 0.3675 0.6108 Li
0.3407 0.5995 0.1874 Li
0.6593 0.4005 0.8126 Li
0.7339 0.6325 0.3892 Li
0.8844 0.7471 0.9637 Li
0.0000 0.0000 0.5000 Co
0.3772 0.7997 0.7184 Si
0.6228 0.2003 0.2816 Si
0.1934 0.0636 0.7759 O
0.2669 0.5799 0.8949 O
0.2876 0.2183 0.2988 O
0.3095 0.7153 0.4792 O
0.6905 0.2847 0.5208 O
0.7124 0.7817 0.7012 O
0.7331 0.4201 0.1051 O
0.8066 0.9364 0.2241 O

---

Entry 6:
LiCoSiO4, PBEsol geometry, DFT SCAN; SG = Cmcm (63); M_tot = 0.01 μB/f.u.; uncorrected formation energy = -2.25 eV per atom; crystal system = orthorhombic; E above lowest polymorph = 6.1 kJ/mol of atoms
1.0
2.5834 -4.0474 0.0000
2.5834 4.0474 0.0000
0.0000 0.0000 5.8945
Li Co Si O
2 2 2 8
Direct
0.1676 0.8324 0.7500 Li
0.8324 0.1676 0.2500 Li
0.5000 0.5000 0.0000 Co
0.5000 0.5000 0.5000 Co
0.1592 0.8408 0.2500 Si
0.8408 0.1592 0.7500 Si
0.2288 0.2737 0.7500 O
0.2698 0.7302 0.0251 O
0.2698 0.7302 0.4749 O
0.2737 0.2288 0.2500 O
0.7263 0.7712 0.7500 O
0.7302 0.2698 0.5251 O
0.7302 0.2698 0.9749 O
0.7712 0.7263 0.2500 O

---

Entry 7:
LiCoSiO4, PBEsol geometry, DFT SCAN; N(E_F) = 0.0 states/eV/f.u.; SG = P4_322 (95); M_tot = 0.00 μB/f.u.; uncorrected formation energy = -2.32 eV per atom; crystal system = tetragonal; E above lowest polymorph = 0.0 kJ/mol of atoms
1.0
5.5038 0.0000 0.0000
0.0000 5.5038 0.0000
0.0000 0.0000 7.7372
Li Co Si O
4 4 4 16
Direct
0.0000 0.2314 0.0000 Li
0.0000 0.7686 0.5000 Li
0.2314 0.0000 0.2500 Li
0.7686 0.0000 0.7500 Li
0.2428 0.5000 0.2500 Co
0.5000 0.2428 0.0000 Co
0.5000 0.7572 0.5000 Co
0.7572 0.5000 0.7500 Co
0.2558 0.2558 0.6250 Si
0.2558 0.7442 0.8750 Si
0.7442 0.2558 0.3750 Si
0.7442 0.7442 0.1250 Si
0.0052 0.2640 0.7384 O
0.0052 0.7360 0.7616 O
0.2622 0.4962 0.0046 O
0.2622 0.5038 0.4954 O
0.2640 0.0052 0.5116 O
0.2640 0.9948 0.9884 O
0.4962 0.2622 0.2454 O
0.4962 0.7378 0.2546 O
0.5038 0.2622 0.7546 O
0.5038 0.7378 0.7454 O
0.7360 0.0052 0.4884 O
0.7360 0.9948 0.0116 O
0.7378 0.4962 0.9954 O
0.7378 0.5038 0.5046 O
0.9948 0.2640 0.2616 O
0.9948 0.7360 0.2384 O

---

Entry 8:
LiCoSi2O6, PBEsol geometry, DFT SCAN; N(E_F) = 0.0 states/eV/f.u.; SG = C2/c (15); M_tot = 0.07 μB/f.u.; uncorrected formation energy = -2.53 eV per atom; crystal system = monoclinic
1.0
4.7110 -4.1833 0.0000
4.7110 4.1833 0.0000
-1.8718 0.0000 4.8843
Li Co Si O
2 2 4 12
Direct
0.2335 0.7665 0.7500 Li
0.7665 0.2335 0.2500 Li
0.4171 0.5829 0.2500 Co
0.5829 0.4171 0.7500 Co
0.1075 0.2974 0.7493 Si
0.2974 0.1075 0.2493 Si
0.7026 0.8925 0.7507 Si
0.8925 0.7026 0.2507 Si
0.1328 0.1464 0.4510 O
0.1381 0.5933 0.3157 O
0.1464 0.1328 0.9510 O
0.3049 0.4778 0.8611 O
0.4067 0.8619 0.1843 O
0.4778 0.3049 0.3611 O
0.5222 0.6951 0.6389 O
0.5933 0.1381 0.8157 O
0.6951 0.5222 0.1389 O
0.8536 0.8672 0.0490 O
0.8619 0.4067 0.6843 O
0.8672 0.8536 0.5490 O